The following is a DFT calculation (PBE-GGA) of a geometry-optimized Pr2SnSb3Pd4 structure.

Summary:
Theoretical density (g/cm³): 8.66
D(E_F) (states/eV per atom): 0.48
Total DFT energy (no corrections) (eV/atom): -5.504
Raw formation energy (eV/atom): -0.834

```
10
Lattice="-4.1344 -0.7550 1.7082 -1.2690 -1.9088 -3.9151 3.3540 -9.9027 3.7409" Properties=species:S:1:pos:R:3 pbc="T T T"
Sn -1.0247 -6.2832 0.7670
Pd 0.0000 0.0000 0.0000
Pd 0.5892 -4.5673 -0.5927
Pd -2.7017 -1.3319 -1.1035
Pd 0.0631 -6.6673 3.2301
Sb 0.8483 -8.9854 4.1058
Sb -0.1960 -2.2491 -1.4684
Sb 1.6770 -4.9513 1.8704
Pr -1.2740 -2.7195 1.7388
Pr 1.9263 -8.5150 0.8986
```